# LiCr2Cd (PBE-GGA, optimized geometry)
data_LiCr2Cd
_chemical_formula_sum 'Li1 Cr2 Cd1'
_cell_length_a 2.549
_cell_length_b 2.549
_cell_length_c 8.991
_cell_angle_alpha 90.00
_cell_angle_beta 90.00
_cell_angle_gamma 90.00
_space_group_name_H-M_alt 'P 4/m m m'
_space_group_IT_number 123
_space_group_name_Hall '-P 4 2'
loop_
_atom_site_label
_atom_site_fract_x
_atom_site_fract_y
_atom_site_fract_z
Li1 0.000 0.000 0.000
Cr1 0.500 0.500 0.244
Cd1 0.000 0.000 0.500
# **Energy of formation from the pure elements**: 0.75 eV/atom
# **Electronic total energy**: -4.766 eV per atom

# LiCrCd (PBE-GGA, optimized geometry)
data_LiCrCd
_chemical_formula_sum 'Li2 Cr2 Cd2'
_cell_length_a 2.657
_cell_length_b 2.657
_cell_length_c 13.402
_cell_angle_alpha 90.00
_cell_angle_beta 90.00
_cell_angle_gamma 90.00
_space_group_name_H-M_alt 'I 4 m m'
_space_group_IT_number 107
_space_group_name_Hall 'I 4 -2'
loop_
_atom_site_label
_atom_site_fract_x
_atom_site_fract_y
_atom_site_fract_z
Li1 0.000 0.000 0.000
Cr1 0.000 0.000 0.341
Cd1 0.000 0.000 0.675
# **Energy of formation from the pure elements**: 0.51 eV/atom
# **Electronic total energy**: -3.639 eV per atom

# LiCr2Cd (PBE-GGA, optimized geometry)
data_LiCr2Cd
_chemical_formula_sum 'Li2 Cr4 Cd2'
_cell_length_a 9.225
_cell_length_b 3.085
_cell_length_c 4.832
_cell_angle_alpha 90.00
_cell_angle_beta 110.30
_cell_angle_gamma 90.00
_space_group_name_H-M_alt 'C 1 m 1'
_space_group_IT_number 8
_space_group_name_Hall 'C -2y'
loop_
_atom_site_label
_atom_site_fract_x
_atom_site_fract_y
_atom_site_fract_z
Li1 0.000 0.000 0.000
Cr1 0.257 0.500 0.343
Cr2 0.476 0.000 0.471
Cd1 0.250 0.000 0.832
# **Energy of formation from the pure elements**: 0.37 eV/atom
# **Electronic total energy**: -5.150 eV per atom

# LiCr2Cd (PBE-GGA, optimized geometry)
data_LiCr2Cd
_chemical_formula_sum 'Li1 Cr2 Cd1'
_cell_length_a 3.446
_cell_length_b 3.446
_cell_length_c 4.557
_cell_angle_alpha 90.00
_cell_angle_beta 90.00
_cell_angle_gamma 90.00
_space_group_name_H-M_alt 'P 4/m m m'
_space_group_IT_number 123
_space_group_name_Hall '-P 4 2'
loop_
_atom_site_label
_atom_site_fract_x
_atom_site_fract_y
_atom_site_fract_z
Li1 0.000 0.000 0.000
Cr1 0.000 0.500 0.500
Cd1 0.500 0.500 0.000
# **Energy of formation from the pure elements**: 0.46 eV/atom
# **Electronic total energy**: -5.058 eV per atom

# LiCrCd (PBE-GGA, optimized geometry)
data_LiCrCd
_chemical_formula_sum 'Li2 Cr2 Cd2'
_cell_length_a 3.025
_cell_length_b 4.040
_cell_length_c 8.829
_cell_angle_alpha 90.00
_cell_angle_beta 90.00
_cell_angle_gamma 90.00
_space_group_name_H-M_alt 'I m m 2'
_space_group_IT_number 44
_space_group_name_Hall 'I 2 -2'
loop_
_atom_site_label
_atom_site_fract_x
_atom_site_fract_y
_atom_site_fract_z
Li1 0.000 0.000 0.000
Cr1 0.000 0.000 0.332
Cd1 0.000 0.000 0.667
# **Energy of formation from the pure elements**: 0.30 eV/atom
# **Electronic total energy**: -3.848 eV per atom

# LiCr2Cd (PBE-GGA, optimized geometry)
data_LiCr2Cd
_chemical_formula_sum 'Li1 Cr2 Cd1'
_cell_length_a 2.680
_cell_length_b 4.413
_cell_length_c 4.874
_cell_angle_alpha 90.00
_cell_angle_beta 90.00
_cell_angle_gamma 90.00
_space_group_name_H-M_alt 'P m m m'
_space_group_IT_number 47
_space_group_name_Hall '-P 2 2'
loop_
_atom_site_label
_atom_site_fract_x
_atom_site_fract_y
_atom_site_fract_z
Li1 0.000 0.000 0.000
Cr1 0.500 0.500 0.198
Cd1 0.000 0.000 0.500
# **Energy of formation from the pure elements**: 0.53 eV/atom
# **Electronic total energy**: -4.988 eV per atom

# LiCr2Cd (PBE-GGA, optimized geometry)
data_LiCr2Cd
_chemical_formula_sum 'Li3 Cr6 Cd3'
_cell_length_a 2.6878
_cell_length_b 2.6878
_cell_length_c 28.9708
_cell_angle_alpha 90.00
_cell_angle_beta 90.00
_cell_angle_gamma 120.00
_space_group_name_H-M_alt 'R -3 m'
_space_group_IT_number 166
_space_group_name_Hall '-R 3 2"'
loop_
_atom_site_label
_atom_site_fract_x
_atom_site_fract_y
_atom_site_fract_z
Li1 0.0000 0.0000 0.0000
Cr1 0.0000 0.0000 0.2518
Cd1 0.0000 0.0000 0.5000
# **Energy of formation from the pure elements**: 0.74 eV/atom
# **Electronic total energy**: -4.779 eV per atom

# LiCrCd2 (PBE-GGA, optimized geometry)
data_LiCrCd2
_chemical_formula_sum 'Li4 Cr4 Cd8'
_cell_length_a 6.676
_cell_length_b 6.676
_cell_length_c 6.676
_cell_angle_alpha 90.00
_cell_angle_beta 90.00
_cell_angle_gamma 90.00
_space_group_name_H-M_alt 'F -4 3 m'
_space_group_IT_number 216
_space_group_name_Hall 'F -4 2 3'
loop_
_atom_site_label
_atom_site_fract_x
_atom_site_fract_y
_atom_site_fract_z
Li1 0.000 0.000 0.000
Cr1 0.250 0.250 0.250
Cd1 0.000 0.000 0.500
Cd2 0.250 0.250 0.750
# **Energy of formation from the pure elements**: 0.17 eV/atom
# **Electronic total energy**: -3.176 eV per atom

# LiCrCd2 (PBE-GGA, optimized geometry)
data_LiCrCd2
_chemical_formula_sum 'Li1 Cr1 Cd2'
_cell_length_a 3.410
_cell_length_b 3.410
_cell_length_c 6.443
_cell_angle_alpha 90.00
_cell_angle_beta 90.00
_cell_angle_gamma 90.00
_space_group_name_H-M_alt 'P 4 m m'
_space_group_IT_number 99
_space_group_name_Hall 'P 4 -2'
loop_
_atom_site_label
_atom_site_fract_x
_atom_site_fract_y
_atom_site_fract_z
Li1 0.000 0.000 0.000
Cr1 0.500 0.500 0.766
Cd1 0.000 0.000 0.526
Cd2 0.500 0.500 0.229
# **Energy of formation from the pure elements**: 0.21 eV/atom
# **Electronic total energy**: -3.131 eV per atom

# LiCr2Cd (PBE-GGA, optimized geometry)
data_LiCr2Cd
_chemical_formula_sum 'Li1 Cr2 Cd1'
_cell_length_a 2.650
_cell_length_b 4.554
_cell_length_c 4.883
_cell_angle_alpha 90.00
_cell_angle_beta 103.59
_cell_angle_gamma 90.00
_space_group_name_H-M_alt 'P 1 2/m 1'
_space_group_IT_number 10
_space_group_name_Hall '-P 2y'
loop_
_atom_site_label
_atom_site_fract_x
_atom_site_fract_y
_atom_site_fract_z
Li1 0.000 0.000 0.000
Cr1 0.477 0.500 0.202
Cd1 0.000 0.000 0.500
# **Energy of formation from the pure elements**: 0.50 eV/atom
# **Electronic total energy**: -5.021 eV per atom

# LiCr2Cd (PBE-GGA, optimized geometry)
data_LiCr2Cd
_chemical_formula_sum 'Li2 Cr4 Cd2'
_cell_length_a 3.163
_cell_length_b 4.685
_cell_length_c 8.769
_cell_angle_alpha 90.00
_cell_angle_beta 90.00
_cell_angle_gamma 90.00
_space_group_name_H-M_alt 'I m m 2'
_space_group_IT_number 44
_space_group_name_Hall 'I 2 -2'
loop_
_atom_site_label
_atom_site_fract_x
_atom_site_fract_y
_atom_site_fract_z
Li1 0.000 0.000 0.000
Cr1 0.000 0.000 0.468
Cr2 0.000 0.500 0.763
Cd1 0.000 0.500 0.246
# **Energy of formation from the pure elements**: 0.38 eV/atom
# **Electronic total energy**: -5.138 eV per atom

# LiCrCd2N (PBE-GGA, optimized geometry)
data_LiCrCd2N
_chemical_formula_sum 'Li1 Cr1 Cd2 N1'
_cell_length_a 5.385
_cell_length_b 5.385
_cell_length_c 3.602
_cell_angle_alpha 90.00
_cell_angle_beta 90.00
_cell_angle_gamma 90.00
_space_group_name_H-M_alt 'P 4/m m m'
_space_group_IT_number 123
_space_group_name_Hall '-P 4 2'
loop_
_atom_site_label
_atom_site_fract_x
_atom_site_fract_y
_atom_site_fract_z
Li1 0.000 0.000 0.000
Cr1 0.500 0.500 0.500
Cd1 0.000 0.500 0.500
N1 0.500 0.500 0.000
# **Formation energy without anion corrections**: 0.271 eV per atom
# **Electronic total energy**: -4.068 eV per atom

Copy entry 8 word for word.
# LiCrCd2 (PBE-GGA, optimized geometry)
data_LiCrCd2
_chemical_formula_sum 'Li4 Cr4 Cd8'
_cell_length_a 6.676
_cell_length_b 6.676
_cell_length_c 6.676
_cell_angle_alpha 90.00
_cell_angle_beta 90.00
_cell_angle_gamma 90.00
_space_group_name_H-M_alt 'F -4 3 m'
_space_group_IT_number 216
_space_group_name_Hall 'F -4 2 3'
loop_
_atom_site_label
_atom_site_fract_x
_atom_site_fract_y
_atom_site_fract_z
Li1 0.000 0.000 0.000
Cr1 0.250 0.250 0.250
Cd1 0.000 0.000 0.500
Cd2 0.250 0.250 0.750
# **Energy of formation from the pure elements**: 0.17 eV/atom
# **Electronic total energy**: -3.176 eV per atom

Question: The highest electronic total energy belongs to which entry?
Answer: number 9